## Y2ErPa (PBE-GGA)

Data for a relaxed structure of Y2ErPa.

## Properties
- SG = R-3m (166)

Cell lengths 3.335, 3.335, 12.384 Å; angles 82.26, 82.26, 60.00 degrees
Element x y z (fractional)
Y  0.912  0.912  0.263
Y  0.088  0.088  0.737
Er  0.500  0.500  0.500
Pa  0.000  0.000  0.000

---

## YErPa (PBE-GGA)

Data for a relaxed structure of YErPa.

## Properties
- SG = I4mm (107)

Cell lengths 3.400, 3.400, 7.909 Å; angles 102.41, 102.41, 90.00 degrees
Element x y z (fractional)
Y  0.608  0.608  0.216
Pa  0.949  0.949  0.898
Er  0.293  0.293  0.587

---

## YErPa (PBE-GGA)

Data for a relaxed structure of YErPa.

## Properties
- SG = Cmcm (63)

Cell lengths 5.032, 3.356, 10.345 Å; angles 80.67, 90.00, 90.00 degrees
Element x y z (fractional)
Y  0.250  0.452  0.096
Y  0.750  0.548  0.904
Pa  0.750  0.711  0.578
Pa  0.250  0.289  0.422
Er  0.750  0.872  0.256
Er  0.250  0.128  0.744

---

## ErPaZn (PBE-GGA)

Data for a relaxed structure of ErPaZn.

## Properties
- SG = I4mm (107)

Cell lengths 3.211, 3.211, 7.190 Å; angles 102.90, 102.90, 90.00 degrees
Element x y z (fractional)
Zn  0.665  0.665  0.329
Er  0.014  0.014  0.029
Pa  0.321  0.321  0.642

---

## ErPaZn (PBE-GGA)

Data for a relaxed structure of ErPaZn.

## Properties
- SG = P3m1 (156)

Cell lengths 3.194, 5.057, 5.057 Å; angles 120.00, 90.00, 90.00 degrees
Element x y z (fractional)
Zn  0.374  0.333  0.667
Pa  0.039  0.000  0.000
Er  0.587  0.667  0.333

---

## Er2PaZn (PBE-GGA)

Data for a relaxed structure of Er2PaZn.

## Properties
- SG = R-3m (166)

Cell lengths 3.254, 3.254, 11.346 Å; angles 81.75, 81.75, 60.00 degrees
Element x y z (fractional)
Er  0.903  0.903  0.290
Er  0.097  0.097  0.710
Pa  0.000  0.000  0.000
Zn  0.500  0.500  0.500

---

## ErPaZn (PBE-GGA)

Data for a relaxed structure of ErPaZn.

## Properties
- SG = Cmcm (63)

Cell lengths 3.270, 5.169, 8.488 Å; angles 90.00, 101.11, 90.00 degrees
Element x y z (fractional)
Zn  0.425  0.250  0.850
Zn  0.575  0.750  0.150
Pa  0.233  0.750  0.466
Pa  0.767  0.250  0.534
Er  0.078  0.250  0.157
Er  0.922  0.750  0.843

---

## Er2PaZn (PBE-GGA)

Data for a relaxed structure of Er2PaZn.

## Properties
- SG = P4/mmm (123)

Cell lengths 4.476, 4.702, 4.702 Å; angles 90.00, 90.00, 90.00 degrees
Element x y z (fractional)
Er  0.000  0.000  0.500
Er  0.000  0.500  0.000
Zn  0.500  0.000  0.000
Pa  0.500  0.500  0.500

---

## ErPaZn4 (PBE-GGA)

Data for a relaxed structure of ErPaZn4.

## Properties
- SG = Pmmm (47)

Cell lengths 3.281, 4.531, 7.845 Å; angles 90.00, 90.00, 90.00 degrees
Element x y z (fractional)
Zn  0.499  0.997  0.829
Zn  0.499  0.497  0.662
Zn  0.499  0.997  0.168
Zn  0.499  0.497  0.334
Er  0.999  0.997  0.498
Pa  0.999  0.497  0.998

---

## ErPa2Zn (PBE-GGA)

Data for a relaxed structure of ErPa2Zn.

## Properties
- SG = R-3m (166)

Cell lengths 3.128, 3.128, 11.578 Å; angles 82.24, 82.24, 60.00 degrees
Element x y z (fractional)
Er  0.000  0.000  0.000
Pa  0.092  0.092  0.725
Pa  0.908  0.908  0.275
Zn  0.500  0.500  0.500

---

## ErPaZn4 (PBE-GGA)

Data for a relaxed structure of ErPaZn4.

## Properties
- SG = F-43m (216)

Cell lengths 5.428, 5.428, 5.428 Å; angles 60.00, 60.00, 60.00 degrees
Element x y z (fractional)
Zn  0.625  0.625  0.625
Zn  0.625  0.625  0.125
Zn  0.625  0.125  0.625
Zn  0.125  0.625  0.625
Pa  0.250  0.250  0.250
Er  0.000  0.000  0.000

---

## Er2PaZn (PBE-GGA)

Data for a relaxed structure of Er2PaZn.

## Properties
- SG = P4/mmm (123)

Cell lengths 3.379, 3.379, 8.649 Å; angles 90.00, 90.00, 90.00 degrees
Element x y z (fractional)
Pa  0.500  0.500  0.500
Er  0.000  0.000  0.222
Er  0.000  0.000  0.778
Zn  0.500  0.500  0.000

---

Number 1: E_tot -25.8 eV/cell, V 117.8 Å³/cell. Number 2: E_tot -20.1 eV/cell, V 87.1 Å³/cell. Number 3: E_tot -40.0 eV/cell, V 172.4 Å³/cell. Number 4: E_tot -15.3 eV/cell, V 70.3 Å³/cell. Number 5: E_tot -14.7 eV/cell, V 70.7 Å³/cell. Number 6: E_tot -19.0 eV/cell, V 102.6 Å³/cell. Number 7: E_tot -31.3 eV/cell, V 140.8 Å³/cell. Number 8: E_tot -19.3 eV/cell, V 99.0 Å³/cell. Number 9: E_tot -20.4 eV/cell, V 116.6 Å³/cell. Number 10: E_tot -23.8 eV/cell, V 96.9 Å³/cell. Number 11: E_tot -20.1 eV/cell, V 113.1 Å³/cell. Number 12: E_tot -20.2 eV/cell, V 98.7 Å³/cell.